*A*
ZrC3: relaxed, GGA-PBE.

space-group type: No. 166
mass density: 5.06 Mg/m³

Lattice parameters (Å, degrees): 5.1276 5.1276 5.1276 36.06 36.06 36.06
Fractional coordinates of all 4 atoms:
Zr (0.0000, 0.0000, 0.0000)
C (0.2400, 0.2400, 0.2400)
C (0.5000, 0.5000, 0.5000)
C (0.7600, 0.7600, 0.7600)



*B*
ZrC3: relaxed, GGA-PBE.

space-group type: No. 25
mass density: 5.23 Mg/m³

Lattice parameters (Å, degrees): 2.7916 4.0478 3.5776 90.00 90.00 90.00
Fractional coordinates of all 4 atoms:
Zr (0.0000, 0.0000, 0.0000)
C (0.0000, 0.5000, 0.5262)
C (0.5000, 0.0000, 0.5024)
C (0.5000, 0.5000, 0.3389)



Name the most stable of them. *B*.



*A*
Tc2AgMo: relaxed, GGA-PBE.

space-group type: No. 71
mass density: 10.45 Mg/m³

Lattice parameters (Å, degrees): 5.2813 5.2813 5.2813 145.92 128.89 62.86
Fractional coordinates of all 4 atoms:
Tc (0.2274, 0.2274, 0.0000)
Tc (0.7726, 0.7726, 0.0000)
Ag (0.5000, 0.0000, 0.5000)
Mo (0.0000, 0.5000, 0.5000)



*B*
Tc2AgMo: relaxed, GGA-PBE.

space-group type: No. 12
mass density: 10.62 Mg/m³

Lattice parameters (Å, degrees): 4.8572 4.8572 4.8716 100.95 100.95 33.71
Fractional coordinates of all 4 atoms:
Tc (0.2418, 0.2418, 0.2311)
Tc (0.7582, 0.7582, 0.7689)
Ag (0.0000, 0.0000, 0.5000)
Mo (0.5000, 0.5000, 0.0000)



Name the most stable of them. *B*.



*A*
B2C: relaxed, GGA-PBE.

space-group type: No. 1
mass density: 2.52 Mg/m³

Lattice parameters (Å, degrees): 3.7643 4.7132 5.5485 78.77 88.98 66.75
Fractional coordinates of all 12 atoms:
B (0.0000, 0.0000, 0.0000)
B (0.0178, 0.3888, 0.3504)
B (0.0837, 0.7974, 0.7588)
B (0.1241, 0.7294, 0.2747)
B (0.3590, 0.6305, 0.0231)
B (0.6841, 0.1439, 0.6215)
B (0.7111, 0.0774, 0.2374)
B (0.8913, 0.5076, 0.8249)
C (0.3402, 0.7775, 0.5086)
C (0.4161, 0.0810, 0.4373)
C (0.7162, 0.4676, 0.5826)
C (0.7984, 0.3627, 0.0886)



*B*
B2C: relaxed, GGA-PBE.

space-group type: No. 10
mass density: 2.79 Mg/m³

Lattice parameters (Å, degrees): 3.4142 2.5828 4.6395 90.00 101.74 90.00
Fractional coordinates of all 6 atoms:
B (0.1734, 0.0000, 0.1885)
B (0.3205, 0.0000, 0.8238)
B (0.6795, 0.0000, 0.1762)
B (0.8266, 0.0000, 0.8115)
C (0.0347, 0.5000, 0.6695)
C (0.9653, 0.5000, 0.3305)



Name the most stable of them. *B*.



*A*
ErTm2Cd4: relaxed, GGA-PBE.

space-group type: No. 65
mass density: 7.93 Mg/m³

Lattice parameters (Å, degrees): 7.0470 7.0470 5.3140 90.00 90.00 130.74
Fractional coordinates of all 7 atoms:
Er (0.0000, 0.0000, 0.0000)
Tm (0.3565, 0.6435, 0.5000)
Tm (0.6435, 0.3565, 0.5000)
Cd (0.1136, 0.8864, 0.5000)
Cd (0.2396, 0.7604, 0.0000)
Cd (0.7604, 0.2396, 0.0000)
Cd (0.8864, 0.1136, 0.5000)



*B*
ErTm2Cd4: relaxed, GGA-PBE.

space-group type: No. 139
mass density: 8.35 Mg/m³

Lattice parameters (Å, degrees): 7.8130 7.8130 7.8130 140.68 140.68 56.83
Fractional coordinates of all 7 atoms:
Er (0.0000, 0.0000, 0.0000)
Tm (0.2564, 0.2564, 0.0000)
Tm (0.7436, 0.7436, 0.0000)
Cd (0.1161, 0.6161, 0.5000)
Cd (0.3839, 0.8839, 0.5000)
Cd (0.6161, 0.1161, 0.5000)
Cd (0.8839, 0.3839, 0.5000)



Name the most stable of them. *B*.



*A*
AgP5: relaxed, GGA-PBE.

space-group type: No. 38
mass density: 3.99 Mg/m³

Lattice parameters (Å, degrees): 4.1160 8.3442 8.3442 22.45 90.00 90.00
Fractional coordinates of all 6 atoms:
Ag (0.0000, 0.0000, 0.0000)
P (0.0000, 0.3418, 0.3418)
P (0.0000, 0.7432, 0.7432)
P (0.5000, 0.1351, 0.1351)
P (0.5000, 0.5438, 0.5438)
P (0.5000, 0.8239, 0.8239)



*B*
AgP5: relaxed, GGA-PBE.

space-group type: No. 123
mass density: 4.53 Mg/m³

Lattice parameters (Å, degrees): 2.4885 2.4885 15.5604 90.00 90.00 90.00
Fractional coordinates of all 6 atoms:
Ag (0.0000, 0.0000, 0.0000)
P (0.0000, 0.0000, 0.3281)
P (0.0000, 0.0000, 0.6719)
P (0.5000, 0.5000, 0.1641)
P (0.5000, 0.5000, 0.5000)
P (0.5000, 0.5000, 0.8359)



Name the most stable of them. *A*.